This record from Alexandria via LeMat-Bulk describes a relaxed structure of In4TcSb. The functional is PBE-GGA.

Structure (CIF):
```
data_In4TcSb
_chemical_formula_sum 'In4 Tc1 Sb1'
_symmetry_space_group_name_H-M 'P 1'
_symmetry_Int_Tables_number 1
_symmetry_space_group_name_Hall 'P 1'
_cell_length_a 5.929
_cell_length_b 5.929
_cell_length_c 5.929
_cell_angle_alpha 60.00
_cell_angle_beta 60.00
_cell_angle_gamma 60.00
loop_
_atom_site_label
_atom_site_fract_x
_atom_site_fract_y
_atom_site_fract_z
In1 0.877 0.374 0.374
In2 0.374 0.374 0.877
In3 0.374 0.877 0.374
In4 0.374 0.374 0.374
Tc1 0.000 0.000 0.000
Sb1 0.750 0.750 0.750
```

space-group type: F-43m (216)
E: -3.554 eV/atom